(1)
TcOs3F: relaxed, GGA-PBE.

Calculated values
- N(E_F): 2.16 states/eV/atom
- Raw formation energy: 7.883 eV per formula unit
- Space-group type: Pm-3m (221)
- Offset from the most stable computed form: 0.0 meV/atom
- Final energy: -7.61 eV per atom

abc: 4.1626 4.1626 4.1626
angles: 90.00 90.00 90.00
With the nearest neighbours (Å) after each atom.
Atoms (fractional coordinates):
1 Tc 0.0000 0.0000 0.0000  12 Os 2.94
2 Os 0.0000 0.5000 0.5000  2 F 2.08
3 Os 0.5000 0.0000 0.5000  2 F 2.08
4 Os 0.5000 0.5000 0.0000  2 F 2.08
5 F 0.5000 0.5000 0.5000  6 Os 2.08

=====

(2)
TcOsF2: relaxed, GGA-PBE.

Calculated values
- N(E_F): 1.25 states/eV/atom
- Raw formation energy: 3.351 eV per formula unit
- Space-group type: Fm-3m (225)
- Offset from the most stable computed form: 1164.3 meV/atom
- Final energy: -5.50 eV per atom

abc: 4.2494 4.2494 4.2494
angles: 60.00 60.00 60.00
With the nearest neighbours (Å) after each atom.
Atoms (fractional coordinates):
1 Tc 0.0000 0.0000 0.0000  8 F 2.60
2 Os 0.5000 0.5000 0.5000  8 F 2.60
3 F 0.2500 0.2500 0.2500  4 Tc 2.60, 4 Os 2.60
4 F 0.7500 0.7500 0.7500  4 Os 2.60, 4 Tc 2.60

=====

(3)
TcOsF2: relaxed, GGA-PBE.

Calculated values
- N(E_F): 0.80 states/eV/atom
- Raw formation energy: 0.197 eV per formula unit
- Space-group type: I-42d (122)
- Offset from the most stable computed form: 375.7 meV/atom
- Final energy: -6.29 eV per atom

abc: 8.4245 8.4245 8.4245
angles: 155.64 155.64 34.72
With the nearest neighbours (Å) after each atom.
Atoms (fractional coordinates):
1 Tc 0.0000 0.0000 0.0000  4 F 2.37, 4 Os 2.51
2 Tc 0.7500 0.2500 0.5000  4 F 2.37, 4 Os 2.51
3 Os 0.2500 0.7500 0.5000  4 F 2.37, 4 Tc 2.51
4 Os 0.5000 0.5000 0.0000  4 F 2.37, 4 Tc 2.51
5 F 0.1247 0.6250 0.9997  2 Tc 2.37, 2 Os 2.37, 4 F 2.51-2.52
6 F 0.3750 0.3747 0.4997  2 Tc 2.37, 2 Os 2.37, 4 F 2.51-2.52
7 F 0.6253 0.1250 0.0003  2 Tc 2.37, 2 Os 2.37, 4 F 2.51-2.52
8 F 0.8750 0.8753 0.5003  2 Tc 2.37, 2 Os 2.37, 4 F 2.51-2.52